1.
Al2InP | Alexandria via LeMat-Bulk | meta-GGA SCAN | PBEsol geometry; calculated volume = 19.54 Å³ per atom; relative energy among the computed polymorphs = 0 meV per atom; final energy = -14.767 eV/atom; magnetic moment = 0.00 μB per cell
1.0
-0.102 1.349 -3.267
2.093 -4.361 0.048
-5.217 -0.581 -0.077
In Al P
1 2 1
Direct
0.554 0.109 0.476 In
0.928 0.857 0.837 Al
0.787 0.575 0.263 Al
0.230 0.460 0.924 P

=====

2.
AlInP2 | Alexandria via LeMat-Bulk | meta-GGA SCAN | PBEsol geometry; calculated volume = 17.14 Å³ per atom; relative energy among the computed polymorphs = 923 meV per atom; final energy = -15.087 eV/atom; magnetic moment = 0.00 μB per cell
1.0
4.594 0.000 0.000
2.297 3.979 0.000
2.297 1.326 3.751
Al P In
1 2 1
Direct
0.500 0.500 0.500 Al
0.750 0.750 0.750 P
0.250 0.250 0.250 P
0.000 0.000 0.000 In

=====

3.
AlInP2 | Alexandria via LeMat-Bulk | meta-GGA SCAN | PBEsol geometry; calculated volume = 18.43 Å³ per atom; relative energy among the computed polymorphs = 761 meV per atom; final energy = -15.248 eV/atom; magnetic moment = 0.00 μB per cell
1.0
3.295 0.032 0.000
-1.279 3.037 0.000
0.000 0.000 7.337
P Al In
2 1 1
Direct
0.000 0.000 0.715 P
0.000 0.000 0.285 P
0.500 0.500 0.500 Al
0.500 0.500 0.000 In